1.
{"formula": "BaDyCdHg", "functional": "PBE", "state": "optimized geometry", "lattice_angstrom": [[0.0000, 3.9723, 3.9723], [3.9723, 0.0000, 3.9723], [3.9723, 3.9723, 0.0000]], "species": ["Ba", "Dy", "Cd", "Hg"], "frac_coords": [[0.0000, 0.0000, 0.0000], [0.5000, 0.5000, 0.5000], [0.7500, 0.7500, 0.7500], [0.2500, 0.2500, 0.2500]], "formation_energy_ev_per_atom": -0.267, "m_tot_mub_per_fu": 0.00, "dft_energy_ev_per_atom": -2.202}

=====

2.
{"formula": "Ba2DyCdHg6", "functional": "PBE", "state": "optimized geometry", "lattice_angstrom": [[0.0000, 5.6643, 5.6643], [5.6643, 0.0000, 5.6643], [5.6643, 5.6643, 0.0000]], "species": ["Ba", "Ba", "Dy", "Cd", "Hg", "Hg", "Hg", "Hg", "Hg", "Hg"], "frac_coords": [[0.2500, 0.2500, 0.2500], [0.7500, 0.7500, 0.7500], [0.0000, 0.0000, 0.0000], [0.5000, 0.5000, 0.5000], [0.2543, 0.2543, 0.7457], [0.2543, 0.7457, 0.2543], [0.2543, 0.7457, 0.7457], [0.7457, 0.2543, 0.2543], [0.7457, 0.2543, 0.7457], [0.7457, 0.7457, 0.2543]], "formation_energy_ev_per_atom": -0.206, "m_tot_mub_per_fu": 0.00, "dft_energy_ev_per_atom": -1.323}

=====

3.
{"formula": "Ba2DyCd3In4", "functional": "PBE", "state": "optimized geometry", "lattice_angstrom": [[4.8560, 0.0000, 0.0000], [0.0000, 4.8560, 0.0000], [0.0000, 0.0000, 13.1268]], "species": ["Ba", "Ba", "Dy", "Cd", "Cd", "Cd", "In", "In", "In", "In"], "frac_coords": [[0.0000, 0.5000, 0.2390], [0.5000, 0.0000, 0.7610], [0.0000, 0.0000, 0.5000], [0.0000, 0.5000, 0.8657], [0.5000, 0.0000, 0.1343], [0.5000, 0.5000, 0.5000], [0.0000, 0.0000, 0.0000], [0.0000, 0.5000, 0.6466], [0.5000, 0.0000, 0.3534], [0.5000, 0.5000, 0.0000]], "formation_energy_ev_per_atom": -0.327, "m_tot_mub_per_fu": 0.00, "dft_energy_ev_per_atom": -2.542}

=====

4.
{"formula": "BaDyCd2In2", "functional": "PBE", "state": "optimized geometry", "lattice_angstrom": [[4.9986, 0.0000, 0.0000], [-2.4993, 4.3289, 0.0000], [0.0000, 0.0000, 8.2766]], "species": ["Ba", "Dy", "Cd", "Cd", "In", "In"], "frac_coords": [[0.0000, 0.0000, 0.0000], [0.0000, 0.0000, 0.5000], [0.3333, 0.6667, 0.6912], [0.6667, 0.3333, 0.3088], [0.3333, 0.6667, 0.2972], [0.6667, 0.3333, 0.7028]], "formation_energy_ev_per_atom": -0.413, "m_tot_mub_per_fu": 0.00, "dft_energy_ev_per_atom": -2.718}

=====

5.
{"formula": "Ba3DyCd2O6", "functional": "PBE", "state": "optimized geometry", "lattice_angstrom": [[6.3288, 0.0000, 0.0000], [-3.1644, 5.4809, 0.0000], [0.0000, 0.0000, 7.0221]], "species": ["Ba", "Ba", "Ba", "Dy", "Cd", "Cd", "O", "O", "O", "O", "O", "O"], "frac_coords": [[0.0000, 0.0000, 0.0000], [0.3333, 0.6667, 0.6142], [0.6667, 0.3333, 0.3858], [0.0000, 0.0000, 0.5000], [0.3333, 0.6667, 0.1470], [0.6667, 0.3333, 0.8530], [0.1642, 0.3285, 0.3088], [0.1642, 0.8358, 0.3088], [0.3285, 0.1642, 0.6912], [0.6715, 0.8358, 0.3088], [0.8358, 0.1642, 0.6912], [0.8358, 0.6715, 0.6912]], "m_tot_mub_per_fu": 0.20, "e_form_raw_ev_per_atom": -2.0758, "dft_energy_ev_per_atom": -5.572}

=====

6.
{"formula": "Ba2DyCd3Pb4", "functional": "PBE", "state": "optimized geometry", "lattice_angstrom": [[5.0411, 0.0000, 0.0000], [0.0000, 5.0411, 0.0000], [0.0000, 0.0000, 13.0211]], "species": ["Ba", "Ba", "Dy", "Cd", "Cd", "Cd", "Pb", "Pb", "Pb", "Pb"], "frac_coords": [[0.0000, 0.5000, 0.2398], [0.5000, 0.0000, 0.7602], [0.0000, 0.0000, 0.5000], [0.0000, 0.5000, 0.8649], [0.5000, 0.0000, 0.1351], [0.5000, 0.5000, 0.5000], [0.0000, 0.0000, 0.0000], [0.0000, 0.5000, 0.6393], [0.5000, 0.0000, 0.3607], [0.5000, 0.5000, 0.0000]], "formation_energy_ev_per_atom": -0.380, "m_tot_mub_per_fu": 0.00, "dft_energy_ev_per_atom": -2.982}

=====

7.
{"formula": "BaDyCdPb", "functional": "PBE", "state": "optimized geometry", "lattice_angstrom": [[0.0000, 4.0292, 4.0292], [4.0292, 0.0000, 4.0292], [4.0292, 4.0292, 0.0000]], "species": ["Ba", "Dy", "Cd", "Pb"], "frac_coords": [[0.0000, 0.0000, 0.0000], [0.5000, 0.5000, 0.5000], [0.2500, 0.2500, 0.2500], [0.7500, 0.7500, 0.7500]], "formation_energy_ev_per_atom": -0.304, "m_tot_mub_per_fu": 0.00, "dft_energy_ev_per_atom": -3.091}

=====

8.
{"formula": "BaDyCd2Pb2", "functional": "PBE", "state": "optimized geometry", "lattice_angstrom": [[5.0850, 0.0000, 0.0000], [-2.5425, 4.4037, 0.0000], [0.0000, 0.0000, 8.3547]], "species": ["Ba", "Dy", "Cd", "Cd", "Pb", "Pb"], "frac_coords": [[0.0000, 0.0000, 0.0000], [0.0000, 0.0000, 0.5000], [0.3333, 0.6667, 0.6580], [0.6667, 0.3333, 0.3420], [0.3333, 0.6667, 0.2558], [0.6667, 0.3333, 0.7442]], "formation_energy_ev_per_atom": -0.389, "m_tot_mub_per_fu": 0.00, "dft_energy_ev_per_atom": -3.017}

=====

9.
{"formula": "Ba2DyCdSe5", "functional": "PBE", "state": "optimized geometry", "lattice_angstrom": [[2.1720, -9.5095, 0.0000], [2.1720, 9.5095, 0.0000], [0.0000, 0.0000, 13.3115]], "species": ["Ba", "Ba", "Ba", "Ba", "Dy", "Dy", "Cd", "Cd", "Se", "Se", "Se", "Se", "Se", "Se", "Se", "Se", "Se", "Se"], "frac_coords": [[0.1153, 0.8847, 0.5000], [0.1306, 0.8694, 0.1276], [0.8694, 0.1306, 0.6276], [0.8847, 0.1153, 0.0000], [0.2078, 0.7922, 0.8277], [0.7922, 0.2078, 0.3277], [0.4496, 0.5504, 0.2586], [0.5504, 0.4496, 0.7586], [0.0554, 0.9446, 0.8726], [0.2908, 0.7092, 0.4711], [0.3090, 0.6910, 0.1821], [0.3547, 0.6453, 0.8179], [0.4952, 0.5048, 0.5801], [0.5048, 0.4952, 0.0801], [0.6453, 0.3547, 0.3179], [0.6910, 0.3090, 0.6821], [0.7092, 0.2908, 0.9711], [0.9446, 0.0554, 0.3726]], "m_tot_mub_per_fu": 0.00, "e_form_raw_ev_per_atom": -1.5205, "dft_energy_ev_per_atom": -4.497}

=====

10.
{"formula": "Ba2DyCd3Sn4", "functional": "PBE", "state": "optimized geometry", "lattice_angstrom": [[4.9852, 0.0000, 0.0000], [0.0000, 4.9852, 0.0000], [0.0000, 0.0000, 12.5590]], "species": ["Ba", "Ba", "Dy", "Cd", "Cd", "Cd", "Sn", "Sn", "Sn", "Sn"], "frac_coords": [[0.0000, 0.5000, 0.2364], [0.5000, 0.0000, 0.7636], [0.0000, 0.0000, 0.5000], [0.0000, 0.5000, 0.8690], [0.5000, 0.0000, 0.1310], [0.5000, 0.5000, 0.5000], [0.0000, 0.0000, 0.0000], [0.0000, 0.5000, 0.6406], [0.5000, 0.0000, 0.3594], [0.5000, 0.5000, 0.0000]], "formation_energy_ev_per_atom": -0.482, "m_tot_mub_per_fu": 0.00, "dft_energy_ev_per_atom": -3.202}

=====

11.
{"formula": "BaDyTl2Cd2", "functional": "PBE", "state": "optimized geometry", "lattice_angstrom": [[5.0627, 0.0000, 0.0000], [-2.5314, 4.3844, 0.0000], [0.0000, 0.0000, 8.2419]], "species": ["Ba", "Dy", "Tl", "Tl", "Cd", "Cd"], "frac_coords": [[0.0000, 0.0000, 0.0000], [0.0000, 0.0000, 0.5000], [0.3333, 0.6667, 0.2897], [0.6667, 0.3333, 0.7103], [0.3333, 0.6667, 0.6872], [0.6667, 0.3333, 0.3128]], "formation_energy_ev_per_atom": -0.325, "m_tot_mub_per_fu": 0.00, "dft_energy_ev_per_atom": -2.507}

=====

12.
{"formula": "BaDyZnCd", "functional": "PBE", "state": "optimized geometry", "lattice_angstrom": [[0.0000, 3.9101, 3.9101], [3.9101, 0.0000, 3.9101], [3.9101, 3.9101, 0.0000]], "species": ["Ba", "Dy", "Zn", "Cd"], "frac_coords": [[0.0000, 0.0000, 0.0000], [0.5000, 0.5000, 0.5000], [0.7500, 0.7500, 0.7500], [0.2500, 0.2500, 0.2500]], "formation_energy_ev_per_atom": -0.126, "m_tot_mub_per_fu": 0.00, "dft_energy_ev_per_atom": -2.305}

=====

13.
{"formula": "BaErCd2", "functional": "PBE", "state": "optimized geometry", "lattice_angstrom": [[0.0000, 3.9741, 3.9741], [3.9741, 0.0000, 3.9741], [3.9741, 3.9741, 0.0000]], "species": ["Ba", "Er", "Cd", "Cd"], "frac_coords": [[0.0000, 0.0000, 0.0000], [0.5000, 0.5000, 0.5000], [0.2500, 0.2500, 0.2500], [0.7500, 0.7500, 0.7500]], "formation_energy_ev_per_atom": -0.172, "m_tot_mub_per_fu": 0.00, "dft_energy_ev_per_atom": -2.251}

=====

14.
{"formula": "BaEr2Cd", "functional": "PBE", "state": "optimized geometry", "lattice_angstrom": [[1.8006, 1.0396, 12.0712], [-1.8006, 1.0396, 12.0712], [0.0000, -2.0791, 12.0712]], "species": ["Ba", "Er", "Er", "Cd"], "frac_coords": [[0.0000, 0.0000, 0.0000], [0.1000, 0.1000, 0.1000], [0.9000, 0.9000, 0.9000], [0.5000, 0.5000, 0.5000]], "formation_energy_ev_per_atom": 0.180, "m_tot_mub_per_fu": 0.22, "dft_energy_ev_per_atom": -2.811}

=====

15.
{"formula": "BaErCd4", "functional": "PBE", "state": "optimized geometry", "lattice_angstrom": [[0.0000, 4.3331, 4.3331], [4.3331, 0.0000, 4.3331], [4.3331, 4.3331, 0.0000]], "species": ["Ba", "Er", "Cd", "Cd", "Cd", "Cd"], "frac_coords": [[0.0000, 0.0000, 0.0000], [0.2500, 0.2500, 0.2500], [0.1273, 0.6242, 0.6242], [0.6242, 0.1273, 0.6242], [0.6242, 0.6242, 0.1273], [0.6242, 0.6242, 0.6242]], "formation_energy_ev_per_atom": -0.188, "m_tot_mub_per_fu": 0.00, "dft_energy_ev_per_atom": -1.879}

=====

16.
{"formula": "BaErCd2", "functional": "PBE", "state": "optimized geometry", "lattice_angstrom": [[3.8975, 0.0000, 0.0000], [0.0000, 3.8975, 0.0000], [0.0000, 0.0000, 8.1907]], "species": ["Ba", "Er", "Cd", "Cd"], "frac_coords": [[0.0000, 0.0000, 0.0000], [0.0000, 0.0000, 0.5000], [0.5000, 0.5000, 0.2994], [0.5000, 0.5000, 0.7006]], "formation_energy_ev_per_atom": -0.283, "m_tot_mub_per_fu": 0.00, "dft_energy_ev_per_atom": -2.362}

=====

17.
{"formula": "BaEr2Cd3", "functional": "PBE", "state": "optimized geometry", "lattice_angstrom": [[3.8215, 0.0000, 0.0000], [0.0000, 3.8215, 0.0000], [0.0000, 0.0000, 11.9330]], "species": ["Ba", "Er", "Er", "Cd", "Cd", "Cd"], "frac_coords": [[0.0000, 0.0000, 0.0000], [0.0000, 0.0000, 0.3486], [0.0000, 0.0000, 0.6514], [0.5000, 0.5000, 0.2068], [0.5000, 0.5000, 0.5000], [0.5000, 0.5000, 0.7932]], "formation_energy_ev_per_atom": -0.290, "m_tot_mub_per_fu": 0.00, "dft_energy_ev_per_atom": -2.589}

=====

18.
{"formula": "BaErCd", "functional": "PBE", "state": "optimized geometry", "lattice_angstrom": [[-1.9768, 1.9768, 6.8727], [1.9768, -1.9768, 6.8727], [1.9768, 1.9768, -6.8727]], "species": ["Ba", "Er", "Cd"], "frac_coords": [[0.0000, 0.0000, 0.0000], [0.2814, 0.2814, 0.0000], [0.6781, 0.6781, 0.0000]], "formation_energy_ev_per_atom": -0.090, "m_tot_mub_per_fu": 0.00, "dft_energy_ev_per_atom": -2.557}

=====

19.
{"formula": "Ba3ErCd4", "functional": "PBE", "state": "optimized geometry", "lattice_angstrom": [[4.0378, 0.0000, 0.0000], [0.0000, 4.0378, 0.0000], [0.0000, 0.0000, 16.9409]], "species": ["Ba", "Ba", "Ba", "Er", "Cd", "Cd", "Cd", "Cd"], "frac_coords": [[0.0000, 0.0000, 0.0000], [0.0000, 0.0000, 0.2672], [0.0000, 0.0000, 0.7328], [0.0000, 0.0000, 0.5000], [0.5000, 0.5000, 0.1324], [0.5000, 0.5000, 0.4059], [0.5000, 0.5000, 0.5941], [0.5000, 0.5000, 0.8676]], "formation_energy_ev_per_atom": -0.289, "m_tot_mub_per_fu": 0.00, "dft_energy_ev_per_atom": -2.038}

=====

20.
{"formula": "BaErCd2", "functional": "PBE", "state": "optimized geometry", "lattice_angstrom": [[5.6660, 0.0000, 0.0000], [0.0000, 5.6660, 0.0000], [0.0000, 0.0000, 3.8681]], "species": ["Ba", "Er", "Cd", "Cd"], "frac_coords": [[0.0000, 0.0000, 0.0000], [0.5000, 0.5000, 0.0000], [0.0000, 0.5000, 0.5000], [0.5000, 0.0000, 0.5000]], "formation_energy_ev_per_atom": -0.187, "m_tot_mub_per_fu": 0.00, "dft_energy_ev_per_atom": -2.266}

=====

21.
{"formula": "BaErCd2", "functional": "PBE", "state": "optimized geometry", "lattice_angstrom": [[1.9244, 1.1111, 10.2921], [-1.9244, 1.1111, 10.2921], [0.0000, -2.2222, 10.2921]], "species": ["Ba", "Er", "Cd", "Cd"], "frac_coords": [[0.0000, 0.0000, 0.0000], [0.5000, 0.5000, 0.5000], [0.2407, 0.2407, 0.2407], [0.7593, 0.7593, 0.7593]], "formation_energy_ev_per_atom": -0.052, "m_tot_mub_per_fu": 0.00, "dft_energy_ev_per_atom": -2.131}

=====

22.
{"formula": "Ba4ErCd5", "functional": "PBE", "state": "optimized geometry", "lattice_angstrom": [[4.0769, 0.0000, 0.0000], [0.0000, 4.0769, 0.0000], [0.0000, 0.0000, 21.2384]], "species": ["Ba", "Ba", "Ba", "Ba", "Er", "Cd", "Cd", "Cd", "Cd", "Cd"], "frac_coords": [[0.0000, 0.0000, 0.1051], [0.0000, 0.0000, 0.3160], [0.0000, 0.0000, 0.6840], [0.0000, 0.0000, 0.8949], [0.0000, 0.0000, 0.5000], [0.5000, 0.5000, 0.0000], [0.5000, 0.5000, 0.2094], [0.5000, 0.5000, 0.4255], [0.5000, 0.5000, 0.5745], [0.5000, 0.5000, 0.7906]], "formation_energy_ev_per_atom": -0.293, "m_tot_mub_per_fu": 0.00, "dft_energy_ev_per_atom": -1.976}

=====

23.
{"formula": "Ba2ErCd10", "functional": "PBE", "state": "optimized geometry", "lattice_angstrom": [[6.5302, 0.0000, 0.0000], [-1.0637, 8.8439, 0.0000], [-0.0068, -0.0857, 12.2015]], "species": ["Ba", "Ba", "Ba", "Ba", "Er", "Er", "Cd", "Cd", "Cd", "Cd", "Cd", "Cd", "Cd", "Cd", "Cd", "Cd", "Cd", "Cd", "Cd", "Cd", "Cd", "Cd", "Cd", "Cd", "Cd", "Cd"], "frac_coords": [[0.1612, 0.0257, 0.1417], [0.3384, 0.9736, 0.6413], [0.6616, 0.0264, 0.3587], [0.8388, 0.9743, 0.8583], [0.0000, 0.5000, 0.5000], [0.5000, 0.5000, 0.0000], [0.0190, 0.6299, 0.7628], [0.0245, 0.3488, 0.9671], [0.1239, 0.8339, 0.3987], [0.1739, 0.1879, 0.4117], [0.2059, 0.3502, 0.7265], [0.2928, 0.6493, 0.2224], [0.3275, 0.8117, 0.9099], [0.3765, 0.1646, 0.8999], [0.4762, 0.6490, 0.4625], [0.4803, 0.3713, 0.2655], [0.5197, 0.6287, 0.7345], [0.5238, 0.3510, 0.5375], [0.6235, 0.8354, 0.1001], [0.6725, 0.1883, 0.0901], [0.7072, 0.3507, 0.7776], [0.7941, 0.6498, 0.2735], [0.8261, 0.8121, 0.5883], [0.8761, 0.1661, 0.6013], [0.9755, 0.6512, 0.0329], [0.9810, 0.3701, 0.2372]], "formation_energy_ev_per_atom": -0.225, "m_tot_mub_per_fu": 0.00, "dft_energy_ev_per_atom": -1.575}

=====

24.
{"formula": "BaEr2Cd9", "functional": "PBE", "state": "optimized geometry", "lattice_angstrom": [[3.0403, 1.7553, 9.5454], [-3.0403, 1.7553, 9.5454], [0.0000, -3.5106, 9.5454]], "species": ["Ba", "Er", "Er", "Cd", "Cd", "Cd", "Cd", "Cd", "Cd", "Cd", "Cd", "Cd"], "frac_coords": [[0.0000, 0.0000, 0.0000], [0.1479, 0.1479, 0.1479], [0.8521, 0.8521, 0.8521], [0.0770, 0.5924, 0.5924], [0.3361, 0.3361, 0.3361], [0.4076, 0.4076, 0.9230], [0.4076, 0.9230, 0.4076], [0.5000, 0.5000, 0.5000], [0.5924, 0.0770, 0.5924], [0.5924, 0.5924, 0.0770], [0.6639, 0.6639, 0.6639], [0.9230, 0.4076, 0.4076]], "formation_energy_ev_per_atom": -0.233, "m_tot_mub_per_fu": 0.00, "dft_energy_ev_per_atom": -1.840}

=====

25.
{"formula": "BaErCd", "functional": "PBE", "state": "optimized geometry", "lattice_angstrom": [[-1.9449, 1.9449, 14.2417], [1.9449, -1.9449, 14.2417], [1.9449, 1.9449, -14.2417]], "species": ["Ba", "Ba", "Er", "Er", "Cd", "Cd"], "frac_coords": [[0.0708, 0.0708, 0.0000], [0.9292, 0.9292, 0.0000], [0.2124, 0.2124, 0.0000], [0.7876, 0.7876, 0.0000], [0.3438, 0.3438, 0.0000], [0.6562, 0.6562, 0.0000]], "formation_energy_ev_per_atom": -0.142, "m_tot_mub_per_fu": 0.31, "dft_energy_ev_per_atom": -2.609}